A plane-wave DFT calculation with PBE was carried out for a relaxed structure of Th4SiC2.

a b c (Å): 3.9230 12.7006 12.7872
angles (deg): 90.00 90.00 90.00
Last column: nearest neighbours and their distance in Å.
Space group Cmcm (No. 63)
Asymmetric unit:
Th (0.0000, 0.0000, 0.0000) (multiplicity 4)  4 C 2.76
Th (0.0000, 0.2723, 0.1130) (multiplicity 8)  3 C 2.47-2.66
Th (0.0000, 0.4267, 0.7500) (multiplicity 4)  2 C 2.58
Si (0.0000, 0.0980, 0.7500) (multiplicity 4)  6 Th 2.93-3.10
C (0.0000, 0.3592, 0.5600) (multiplicity 8)  6 Th 2.47-2.76

Properties
- raw total energy (eV per cell) = -224.93
- crystal system = orthorhombic


A plane-wave DFT calculation with PBE was carried out for a relaxed structure of Th2SiC.

a b c (Å): 3.9898 22.2772 3.9171
angles (deg): 90.00 90.00 90.00
Last column: nearest neighbours and their distance in Å.
Space group Cmcm (No. 63)
Asymmetric unit:
Th (0.0000, 0.0822, 0.2500) (multiplicity 4)  1 C 2.48
Th (0.0000, 0.3050, 0.2500) (multiplicity 4)  1 C 2.48
Si (0.0000, 0.4676, 0.2500) (multiplicity 4)  2 Si 2.43
C (0.0000, 0.1936, 0.2500) (multiplicity 4)  2 Th 2.48

Properties
- E above lowest polymorph (meV/atom) = 0
- raw total energy (eV per cell) = -125.14
- crystal system = orthorhombic


A plane-wave DFT calculation with PBE was carried out for a relaxed structure of ThSiC.

a b c (Å): 3.7970 3.7970 18.9576
angles (deg): 90.00 90.00 90.00
Last column: nearest neighbours and their distance in Å.
Space group I4/mmm (No. 139)
Asymmetric unit:
Th (0.0000, 0.0000, 0.1791) (multiplicity 4)  5 C 2.47-2.69
Si (0.0000, 0.0000, 0.4075) (multiplicity 4)  1 C 1.86
C (0.0000, 0.0000, 0.3093) (multiplicity 4)  1 Si 1.86

Properties
- raw total energy (eV per cell) = -88.92
- crystal system = tetragonal